Entry from the Open Quantum Materials Database: a geometry-optimized DyZnHg structure (PBE).

It has space group F-43m (No. 216), with a = 6.591 Å, b = 6.591 Å, c = 6.591 Å, α = 90.00°, β = 90.00° and γ = 90.00°. The asymmetric unit holds Dy at (0.000, 0.000, 0.000), Zn at (0.250, 0.250, 0.250) and Hg at (0.000, 0.000, 0.500).

Its calculated formation energy is -237 meV per atom.

=====

Entry from the Open Quantum Materials Database: a geometry-optimized Dy2ZnHg structure (PBE).

It has space group P4/mmm (No. 123), with a = 3.615 Å, b = 3.615 Å, c = 7.362 Å, α = 90.00°, β = 90.00° and γ = 90.00°. The asymmetric unit holds Dy at (0.000, 0.000, 0.234), Zn at (0.500, 0.500, 0.000) and Hg at (0.500, 0.500, 0.500).

Its calculated formation energy is -418 meV per atom.

=====

Entry from the Open Quantum Materials Database: a geometry-optimized Dy3Zn2Hg4 structure (PBE).

It has space group C2/m (No. 12), with a = 10.836 Å, b = 4.768 Å, c = 8.936 Å, α = 90.00°, β = 117.07° and γ = 90.00°. The asymmetric unit holds Dy at (0.000, 0.000, 0.000), Dy at (0.163, 0.500, 0.668), Zn at (0.112, 0.500, 0.284), Hg at (0.069, 0.000, 0.393) and Hg at (0.209, 0.500, 0.057).

Its calculated formation energy is -407 meV per atom.

=====

Entry from the Open Quantum Materials Database: a geometry-optimized DyZnHg structure (PBE).

It has space group F-43m (No. 216), with a = 6.870 Å, b = 6.870 Å, c = 6.870 Å, α = 90.00°, β = 90.00° and γ = 90.00°. The asymmetric unit holds Dy at (0.000, 0.000, 0.000), Zn at (0.250, 0.250, 0.250) and Hg at (0.250, 0.250, 0.750).

Its calculated formation energy is 40 meV per atom.

=====

Entry from the Open Quantum Materials Database: a geometry-optimized DyZrHg structure (PBE).

It has space group F-43m (No. 216), with a = 6.969 Å, b = 6.969 Å, c = 6.969 Å, α = 90.00°, β = 90.00° and γ = 90.00°. The asymmetric unit holds Dy at (0.000, 0.000, 0.000), Zr at (0.000, 0.000, 0.500) and Hg at (0.250, 0.250, 0.250).

Its calculated formation energy is 176 meV per atom. For the relative energy among the computed polymorphs, the calculation gives 0.000 eV per atom.

=====

Entry from the Open Quantum Materials Database: a geometry-optimized DyHo7 structure (PBE).

It has space group P-6m2 (No. 187), with a = 7.1808 Å, b = 7.1808 Å, c = 5.5852 Å, α = 90.00°, β = 90.00° and γ = 120.00°. The asymmetric unit holds Dy at (0.0000, 0.0000, 0.0000), Ho at (0.0017, 0.5008, 0.0000), Ho at (0.1675, 0.3350, 0.5000) and Ho at (0.6667, 0.3333, 0.5000).

Its calculated formation energy is 4 meV per atom.

=====

Entry from the Open Quantum Materials Database: a geometry-optimized Dy5Ho3 structure (PBE).

It has space group P-6m2 (No. 187), with a = 7.1998 Å, b = 7.1998 Å, c = 5.6117 Å, α = 90.00°, β = 90.00° and γ = 120.00°. The asymmetric unit holds Dy at (0.0000, 0.0000, 0.0000), Dy at (0.0006, 0.5003, 0.0000), Dy at (0.6667, 0.3333, 0.5000) and Ho at (0.1670, 0.3340, 0.5000).

Its calculated formation energy is 6 meV per atom.

=====

Entry from the Open Quantum Materials Database: a geometry-optimized DyHoI2N structure (PBE).

It has space group P3m1 (No. 156), with a = 3.7642 Å, b = 3.7642 Å, c = 10.7880 Å, α = 90.00°, β = 90.00° and γ = 120.00°. The asymmetric unit holds Dy at (0.0000, 0.0000, 0.0000), Ho at (0.6667, 0.3333, 0.7670), I at (0.0000, 0.0000, 0.5677), I at (0.6667, 0.3333, 0.2004) and N at (0.3333, 0.6667, 0.8819).

As for the total energy: -5.50 eV per atom.

=====

Entry from the Open Quantum Materials Database: a geometry-optimized Dy2Ho2I5N structure (PBE).

It has space group C2/m (No. 12), with a = 18.900 Å, b = 3.894 Å, c = 8.505 Å, α = 90.00°, β = 102.66° and γ = 90.00°. The asymmetric unit holds Dy at (0.126, 0.000, 0.062), Ho at (0.001, 0.500, 0.813), I at (0.000, 0.000, 0.500), I at (0.162, 0.500, 0.341), I at (0.166, 0.500, 0.819) and N at (0.000, 0.000, 0.000).

As for the total energy: -4.69 eV per atom.

=====

Entry from the Open Quantum Materials Database: a geometry-optimized Dy3HoIn2 structure (PBE).

It has space group P-6m2 (No. 187), with a = 5.3771 Å, b = 5.3771 Å, c = 6.7065 Å, α = 90.00°, β = 90.00° and γ = 120.00°. The asymmetric unit holds Dy at (0.0000, 0.0000, 0.0000), Dy at (0.3333, 0.6667, 0.2503), Ho at (0.6667, 0.3333, 0.5000), In at (0.0000, 0.0000, 0.5000) and In at (0.6667, 0.3333, 0.0000).

As for the total energy: -4.33 eV per atom.

=====

Entry from the Open Quantum Materials Database: a geometry-optimized DyHoIn2 structure (PBE).

It has space group Amm2 (No. 38), with a = 4.296 Å, b = 4.541 Å, c = 11.435 Å, α = 90.00°, β = 90.00° and γ = 90.00°. The asymmetric unit holds Dy at (0.000, 0.000, 0.000), Ho at (0.500, 0.000, 0.723), In at (0.000, 0.000, 0.275) and In at (0.500, 0.000, 0.448).

For the relative energy among the computed polymorphs, the calculation gives 0.043 eV per atom.

=====

Entry from the Open Quantum Materials Database: a geometry-optimized DyHo5In3 structure (PBE).

It has space group P6_3/mcm (No. 193), with a = 9.2942 Å, b = 9.2942 Å, c = 6.6936 Å, α = 90.00°, β = 90.00° and γ = 120.00°. The asymmetric unit holds Dy at (0.0000, 0.0000, 0.0000), Ho at (0.0000, 0.3332, 0.2500), Ho at (0.3333, 0.6667, 0.0000) and In at (0.0000, 0.3339, 0.7500).

As for the total energy: -4.32 eV per atom.